BeCuCl2 | Alexandria via LeMat-Bulk | PBE-GGA | relaxed; ρ = 3.1 g/cm³; excess energy over the best structure of this formula in the dataset = 163.2 kJ/mol of formula units; formation energy from raw total energies = -0.0378 eV per atom; Fermi-level density of states = 0.831 states/eV per cell; total energy = -2.917 eV per atom
1.0
1.788 1.032 6.850
-1.788 1.032 6.850
0.000 -2.065 6.850
Be Cu Cl
1 1 2
Cartesian
0.000 0.000 0.000
0.000 0.000 10.275
0.000 0.000 1.983
0.000 0.000 18.567